An optimized crystal structure of Sc3TlTe, computed with PBE.

Lattice parameters (Å, degrees): 8.096 4.047 8.417 90.00 110.55 90.00
Space group Pm (No. 6)
Symmetry-distinct sites (fractional):
1 Sc 0.000 0.000 0.000 x1
2 Sc 0.026 0.500 0.328 x1
3 Sc 0.139 0.000 0.671 x1
4 Sc 0.369 0.000 0.333 x1
5 Sc 0.535 0.000 0.034 x1
6 Sc 0.802 0.500 0.653 x1
7 Tl 0.263 0.500 0.014 x1
8 Tl 0.769 0.000 0.393 x1
9 Te 0.381 0.500 0.590 x1
10 Te 0.751 0.500 0.980 x1

- energy above the lowest structure with this stoichiometry (meV/atom) = 0.0
- E_tot (eV per atom) = -5.3620
- total moment (μB/atom) = 0.0000
- ΔE_f (raw) (eV/atom) = -0.461